Here is crystalline Li3Tl at its relaxed geometry from Alexandria. Energies are from GGA-PBE.

abc: 6.663 6.663 6.663
angles: 90.00 90.00 90.00
Space group Fm-3m (No. 225)
Unique sites:
Li 0.000 0.000 0.000
Li 0.250 0.250 0.250
Tl 0.000 0.000 0.500

Its crystal system is cubic. As for the energy of formation: -0.218 eV per atom.

***

Here is crystalline Li3Tl at its relaxed geometry from Alexandria. Energies are from GGA-PBE.

abc: 6.0239 6.0239 9.6809
angles: 90.00 90.00 120.00
Space group P6_3/mmc (No. 194)
Unique sites:
Li 0.0000 0.5000 0.0000
Li 0.1629 0.3258 0.2500
Tl 0.0000 0.0000 0.0000
Tl 0.3333 0.6667 0.7500

Its crystal system is hexagonal. As for the energy of formation: -0.195 eV per atom.